Entry from the Alexandria database: CeHoB12 after structural relaxation (GGA-PBE).

Values from the calculation:
D(E_F) in states/eV/atom: 0.39
Calculated volume in Å³ per cell: 138.28
Mass density in g/cm³: 5.22
Uncorrected energy in eV per atom: -6.92
E_form in eV/atom: -0.449

Lattice parameters (Å, degrees): 4.104 4.104 8.210 90.00 90.00 90.00
Space group P4/mmm (No. 123)
Inequivalent atoms, fractional coordinates:
Ce  0.000  0.000  0.000 (multiplicity 1)
Ho  0.000  0.000  0.500 (multiplicity 1)
B  0.199  0.500  0.252 (multiplicity 8)
B  0.500  0.500  0.100 (multiplicity 2)
B  0.500  0.500  0.401 (multiplicity 2)